[1]
Density functional theory data (PBE) for a relaxed AgSnH crystal.

Results
The value obtained for the energy above the most stable polymorph in this dataset is 43 meV per atom.

```
data_AgSnH
_cell_length_a 4.0293
_cell_length_b 4.8859
_cell_length_c 5.8296
_cell_angle_alpha 100.75
_cell_angle_beta 97.78
_cell_angle_gamma 111.01
_space_group_name_H-M_alt 'P 1'
_space_group_IT_number 1
loop_
_space_group_symop_operation_xyz
'x,y,z'
loop_
_atom_site_label
_atom_site_fract_x
_atom_site_fract_y
_atom_site_fract_z
Ag1 0.0000 0.0000 0.0000
Ag2 0.4867 0.0477 0.6101
Sn1 0.2454 0.5222 0.8023
Sn2 0.6976 0.5809 0.3235
H1 0.2089 0.9586 0.2970
H2 0.9194 0.3219 0.1997
```


[2]
Density functional theory data (PBE) for a relaxed Sm3MgSi2Pd9 crystal.

Results
The formation energy without anion corrections is -9.4 eV/f.u.

```
data_Sm3MgSi2Pd9
_cell_length_a 5.8027
_cell_length_b 5.8027
_cell_length_c 10.4793
_cell_angle_alpha 90.00
_cell_angle_beta 90.00
_cell_angle_gamma 120.00
_space_group_name_H-M_alt 'P -3 m 1'
_space_group_IT_number 164
_space_group_name_Hall '-P 3 2"'
loop_
_atom_site_label
_atom_site_fract_x
_atom_site_fract_y
_atom_site_fract_z
Sm1 0.0000 0.0000 0.0000
Sm2 0.3333 0.6667 0.6113
Mg1 0.0000 0.0000 0.5000
Si1 0.3333 0.6667 0.1586
Pd1 0.0000 0.5000 0.0000
Pd2 0.1618 0.3235 0.3064
```


[3]
Density functional theory data (PBE) for a relaxed Ca2TlHg2 crystal.

Results
The value obtained for the energy above the most stable polymorph in this dataset is 0 meV per atom. The formation energy from the elements comes out at -209 kJ/mol of formula units.

```
data_Ca2TlHg2
_cell_length_a 8.3728
_cell_length_b 8.3728
_cell_length_c 4.0458
_cell_angle_alpha 90.00
_cell_angle_beta 90.00
_cell_angle_gamma 90.00
_space_group_name_H-M_alt 'P 4/m b m'
_space_group_IT_number 127
_space_group_name_Hall '-P 4 2ab'
loop_
_atom_site_label
_atom_site_fract_x
_atom_site_fract_y
_atom_site_fract_z
Ca1 0.1708 0.3292 0.0000
Tl1 0.0000 0.0000 0.5000
Hg1 0.1280 0.6280 0.5000
```


[4]
Density functional theory data (PBE) for a relaxed NpFe2P crystal.

Results
The formation energy from the elements comes out at -145 kJ/mol of formula units.

```
data_NpFe2P
_cell_length_a 3.6980
_cell_length_b 3.6980
_cell_length_c 8.5726
_cell_angle_alpha 90.00
_cell_angle_beta 90.00
_cell_angle_gamma 90.00
_space_group_name_H-M_alt 'P 4/n m m'
_space_group_IT_number 129
loop_
_space_group_symop_operation_xyz
'x,y,z'
'-x,-y,-z'
'-y+1/2,x,z'
'y+1/2,-x,-z'
'-x+1/2,-y+1/2,z'
'x+1/2,y+1/2,-z'
'y,-x+1/2,z'
'-y,x+1/2,-z'
'x+1/2,-y,-z'
'-x+1/2,y,z'
'-y,-x,-z'
'y,x,z'
'-x,y+1/2,-z'
'x,-y+1/2,z'
'y+1/2,x+1/2,-z'
'-y+1/2,-x+1/2,z'
loop_
_atom_site_label
_atom_site_fract_x
_atom_site_fract_y
_atom_site_fract_z
Np1 0.2500 0.2500 0.2221
Fe1 0.2500 0.2500 0.9468
Fe2 0.2500 0.7500 0.5000
P1 0.2500 0.2500 0.6471
```


[5]
Density functional theory data (PBE) for a relaxed K2NaHgBi2 crystal.

Results
The formation energy from the elements comes out at -165 kJ/mol of formula units.

```
data_K2NaHgBi2
_cell_length_a 7.1510
_cell_length_b 16.9988
_cell_length_c 7.2534
_cell_angle_alpha 90.00
_cell_angle_beta 90.00
_cell_angle_gamma 90.00
_space_group_name_H-M_alt 'I b a m'
_space_group_IT_number 72
_space_group_name_Hall '-I 2 2c'
loop_
_atom_site_label
_atom_site_fract_x
_atom_site_fract_y
_atom_site_fract_z
K1 0.2482 0.1686 0.0000
Na1 0.0000 0.0000 0.2500
Hg1 0.0000 0.5000 0.2500
Bi1 0.2296 0.3908 0.0000
```


[6]
Density functional theory data (PBE) for a relaxed YBr2F crystal.

Results
The value obtained for the energy above the most stable polymorph in this dataset is 0 meV per atom. The formation energy without anion corrections is -10.5 eV/f.u.

```
data_YBr2F
_cell_length_a 15.2098
_cell_length_b 4.1337
_cell_length_c 4.3744
_cell_angle_alpha 90.00
_cell_angle_beta 106.66
_cell_angle_gamma 90.00
_space_group_name_H-M_alt 'C 1 2/m 1'
_space_group_IT_number 12
loop_
_space_group_symop_operation_xyz
'x,y,z'
'-x,-y,-z'
'-x,y,-z'
'x,-y,z'
'x+1/2,y+1/2,z'
'-x+1/2,-y+1/2,-z'
'-x+1/2,y+1/2,-z'
'x+1/2,-y+1/2,z'
loop_
_atom_site_label
_atom_site_fract_x
_atom_site_fract_y
_atom_site_fract_z
Y1 0.0000 0.0000 0.0000
Br1 0.1328 0.5000 0.1325
F1 0.0000 0.0000 0.5000
```


[7]
Density functional theory data (PBE) for a relaxed Zr2HgAu crystal.

Results
The formation energy from the elements comes out at -81 kJ/mol of formula units.

```
data_Zr2HgAu
_cell_length_a 4.2075
_cell_length_b 4.2075
_cell_length_c 9.4176
_cell_angle_alpha 90.00
_cell_angle_beta 90.00
_cell_angle_gamma 90.00
_space_group_name_H-M_alt 'I -4 m 2'
_space_group_IT_number 119
_space_group_name_Hall 'I -4 -2'
loop_
_atom_site_label
_atom_site_fract_x
_atom_site_fract_y
_atom_site_fract_z
Zr1 0.0000 0.0000 0.0000
Zr2 0.0000 0.5000 0.2500
Hg1 0.0000 0.0000 0.5000
Au1 0.0000 0.5000 0.7500
```


[8]
Density functional theory data (PBE) for a relaxed SrTePt2 crystal.

Results
The value obtained for the energy above the most stable polymorph in this dataset is 121 meV per atom. The formation energy without anion corrections is -2.3 eV/f.u.

```
data_SrTePt2
_cell_length_a 4.6839
_cell_length_b 4.6839
_cell_length_c 15.9061
_cell_angle_alpha 90.00
_cell_angle_beta 90.00
_cell_angle_gamma 120.00
_space_group_name_H-M_alt 'R 3 m'
_space_group_IT_number 160
_space_group_name_Hall 'R 3 -2"'
loop_
_atom_site_label
_atom_site_fract_x
_atom_site_fract_y
_atom_site_fract_z
Sr1 0.0000 0.0000 0.0000
Te1 0.0000 0.0000 0.1980
Pt1 0.0000 0.0000 0.4839
Pt2 0.0000 0.0000 0.7956
```


[9]
Density functional theory data (PBE) for a relaxed MgCdCl3 crystal.

Results
The value obtained for the energy above the most stable polymorph in this dataset is 0 meV per atom. The formation energy without anion corrections is -5.7 eV/f.u.

```
data_MgCdCl3
_cell_length_a 4.9470
_cell_length_b 4.9470
_cell_length_c 4.9470
_cell_angle_alpha 90.00
_cell_angle_beta 90.00
_cell_angle_gamma 90.00
_space_group_name_H-M_alt 'P m -3 m'
_space_group_IT_number 221
_space_group_name_Hall '-P 4 2 3'
loop_
_atom_site_label
_atom_site_fract_x
_atom_site_fract_y
_atom_site_fract_z
Mg1 0.0000 0.0000 0.0000
Cd1 0.5000 0.5000 0.5000
Cl1 0.0000 0.0000 0.5000
```


[10]
Density functional theory data (PBE) for a relaxed IrAuF2 crystal.

Results
The value obtained for the energy above the most stable polymorph in this dataset is 0 meV per atom. The formation energy without anion corrections is -2.7 eV/f.u.

```
data_IrAuF2
_cell_length_a 2.7220
_cell_length_b 2.7220
_cell_length_c 30.2810
_cell_angle_alpha 90.00
_cell_angle_beta 90.00
_cell_angle_gamma 120.00
_space_group_name_H-M_alt 'R -3 m'
_space_group_IT_number 166
_space_group_name_Hall '-R 3 2"'
loop_
_atom_site_label
_atom_site_fract_x
_atom_site_fract_y
_atom_site_fract_z
Ir1 0.0000 0.0000 0.0000
Au1 0.0000 0.0000 0.5000
F1 0.0000 0.0000 0.0628
```


[11]
Density functional theory data (PBE) for a relaxed Na3MgMn crystal.

Results
The value obtained for the energy above the most stable polymorph in this dataset is 72 meV per atom. The formation energy from the elements comes out at 413 kJ/mol of formula units.

```
data_Na3MgMn
_cell_length_a 5.8037
_cell_length_b 5.8037
_cell_length_c 5.8037
_cell_angle_alpha 90.00
_cell_angle_beta 90.00
_cell_angle_gamma 90.00
_space_group_name_H-M_alt 'P m -3 m'
_space_group_IT_number 221
_space_group_name_Hall '-P 4 2 3'
loop_
_atom_site_label
_atom_site_fract_x
_atom_site_fract_y
_atom_site_fract_z
Na1 0.0000 0.0000 0.5000
Mg1 0.0000 0.0000 0.0000
Mn1 0.5000 0.5000 0.5000
```


[12]
Density functional theory data (PBE) for a relaxed RbBeAsBr2 crystal.

Results
The value obtained for the energy above the most stable polymorph in this dataset is 1296 meV per atom. The formation energy without anion corrections is 4.3 eV/f.u.

```
data_RbBeAsBr2
_cell_length_a 6.5676
_cell_length_b 6.5676
_cell_length_c 6.9646
_cell_angle_alpha 90.00
_cell_angle_beta 90.00
_cell_angle_gamma 90.00
_space_group_name_H-M_alt 'P 4/m m m'
_space_group_IT_number 123
_space_group_name_Hall '-P 4 2'
loop_
_atom_site_label
_atom_site_fract_x
_atom_site_fract_y
_atom_site_fract_z
Rb1 0.0000 0.0000 0.0000
Be1 0.5000 0.5000 0.5000
As1 0.0000 0.0000 0.5000
Br1 0.0000 0.5000 0.0000
```


[13]
Density functional theory data (PBE) for a relaxed Ca4UPa3As8 crystal.

Results
The formation energy from the elements comes out at -1705 kJ/mol of formula units.

```
data_Ca4UPa3As8
_cell_length_a 8.3432
_cell_length_b 8.3432
_cell_length_c 20.5467
_cell_angle_alpha 90.00
_cell_angle_beta 90.00
_cell_angle_gamma 120.00
_space_group_name_H-M_alt 'R -3 m'
_space_group_IT_number 166
_space_group_name_Hall '-R 3 2"'
loop_
_atom_site_label
_atom_site_fract_x
_atom_site_fract_y
_atom_site_fract_z
Ca1 0.0000 0.0000 0.0000
Ca2 0.0000 0.5000 0.0000
U1 0.0000 0.0000 0.5000
Pa1 0.0000 0.5000 0.5000
As1 0.0000 0.0000 0.2446
As2 0.0017 0.5009 0.7554
```


[14]
Density functional theory data (PBE) for a relaxed USn2Pd7Au2 crystal.

Results
The formation energy from the elements comes out at -415 kJ/mol of formula units.

```
data_USn2Pd7Au2
_cell_length_a 5.7492
_cell_length_b 5.8515
_cell_length_c 12.9694
_cell_angle_alpha 90.00
_cell_angle_beta 90.00
_cell_angle_gamma 90.00
_space_group_name_H-M_alt 'C m m m'
_space_group_IT_number 65
_space_group_name_Hall '-C 2 2'
loop_
_atom_site_label
_atom_site_fract_x
_atom_site_fract_y
_atom_site_fract_z
U1 0.0000 0.0000 0.0000
Sn1 0.0000 0.0000 0.3322
Pd1 0.0000 0.2616 0.5000
Pd2 0.0000 0.5000 0.0000
Pd3 0.2500 0.2500 0.1542
Au1 0.0000 0.5000 0.3102
```


[15]
Density functional theory data (PBE) for a relaxed SrP2SBr crystal.

Results
The value obtained for the energy above the most stable polymorph in this dataset is 631 meV per atom. The formation energy without anion corrections is 5.1 eV/f.u.

```
data_SrP2SBr
_cell_length_a 6.1310
_cell_length_b 6.1310
_cell_length_c 5.7170
_cell_angle_alpha 90.00
_cell_angle_beta 90.00
_cell_angle_gamma 90.00
_space_group_name_H-M_alt 'P 4/m m m'
_space_group_IT_number 123
_space_group_name_Hall '-P 4 2'
loop_
_atom_site_label
_atom_site_fract_x
_atom_site_fract_y
_atom_site_fract_z
Sr1 0.0000 0.0000 0.0000
P1 0.0000 0.5000 0.0000
S1 0.0000 0.0000 0.5000
Br1 0.5000 0.5000 0.5000
```


[16]
Density functional theory data (PBE) for a relaxed Mg2BeTl crystal.

Results
The value obtained for the energy above the most stable polymorph in this dataset is 179 meV per atom. The formation energy from the elements comes out at 152 kJ/mol of formula units.

```
data_Mg2BeTl
_cell_length_a 6.8360
_cell_length_b 6.8360
_cell_length_c 6.8360
_cell_angle_alpha 90.00
_cell_angle_beta 90.00
_cell_angle_gamma 90.00
_space_group_name_H-M_alt 'F -4 3 m'
_space_group_IT_number 216
_space_group_name_Hall 'F -4 2 3'
loop_
_atom_site_label
_atom_site_fract_x
_atom_site_fract_y
_atom_site_fract_z
Mg1 0.0000 0.0000 0.0000
Mg2 0.2500 0.2500 0.2500
Be1 0.0000 0.0000 0.5000
Tl1 0.2500 0.2500 0.7500
```


[17]
Density functional theory data (PBE) for a relaxed TaBiMo2Pd crystal.

Results
The formation energy from the elements comes out at 744 kJ/mol of formula units.

```
data_TaBiMo2Pd
_cell_length_a 4.8263
_cell_length_b 4.8263
_cell_length_c 4.8516
_cell_angle_alpha 90.00
_cell_angle_beta 90.00
_cell_angle_gamma 90.00
_space_group_name_H-M_alt 'P 4/m m m'
_space_group_IT_number 123
_space_group_name_Hall '-P 4 2'
loop_
_atom_site_label
_atom_site_fract_x
_atom_site_fract_y
_atom_site_fract_z
Ta1 0.0000 0.0000 0.0000
Bi1 0.5000 0.5000 0.0000
Mo1 0.0000 0.5000 0.5000
Pd1 0.0000 0.0000 0.5000
```


[18]
Density functional theory data (PBE) for a relaxed TlSnAs3 crystal.

Results
The value obtained for the energy above the most stable polymorph in this dataset is 0 meV per atom. The formation energy from the elements comes out at 315 kJ/mol of formula units.

```
data_TlSnAs3
_cell_length_a 5.3357
_cell_length_b 5.3357
_cell_length_c 5.3357
_cell_angle_alpha 90.00
_cell_angle_beta 90.00
_cell_angle_gamma 90.00
_space_group_name_H-M_alt 'P m -3 m'
_space_group_IT_number 221
_space_group_name_Hall '-P 4 2 3'
loop_
_atom_site_label
_atom_site_fract_x
_atom_site_fract_y
_atom_site_fract_z
Tl1 0.0000 0.0000 0.0000
Sn1 0.5000 0.5000 0.5000
As1 0.0000 0.5000 0.5000
```


[19]
Density functional theory data (PBE) for a relaxed KAlPd2Rh crystal.

Results
The formation energy from the elements comes out at 856 kJ/mol of formula units.

```
data_KAlPd2Rh
_cell_length_a 4.7366
_cell_length_b 4.7366
_cell_length_c 5.2565
_cell_angle_alpha 90.00
_cell_angle_beta 90.00
_cell_angle_gamma 90.00
_space_group_name_H-M_alt 'P 4/m m m'
_space_group_IT_number 123
_space_group_name_Hall '-P 4 2'
loop_
_atom_site_label
_atom_site_fract_x
_atom_site_fract_y
_atom_site_fract_z
K1 0.0000 0.0000 0.0000
Al1 0.0000 0.0000 0.5000
Pd1 0.0000 0.5000 0.0000
Rh1 0.5000 0.5000 0.5000
```


[20]
Density functional theory data (PBE) for a relaxed Cd2SiP crystal.

Results
The value obtained for the energy above the most stable polymorph in this dataset is 477 meV per atom. The formation energy without anion corrections is 2.2 eV/f.u.

```
data_Cd2SiP
_cell_length_a 6.8238
_cell_length_b 6.8238
_cell_length_c 6.8238
_cell_angle_alpha 90.00
_cell_angle_beta 90.00
_cell_angle_gamma 90.00
_space_group_name_H-M_alt 'F m -3 m'
_space_group_IT_number 225
_space_group_name_Hall '-F 4 2 3'
loop_
_atom_site_label
_atom_site_fract_x
_atom_site_fract_y
_atom_site_fract_z
Cd1 0.2500 0.2500 0.2500
Si1 0.0000 0.0000 0.0000
P1 0.0000 0.0000 0.5000
```